(1)
CaIF (GGA-PBE, relaxed); size of the total moment = 0.0 μB/f.u.; E_tot = -4.07 eV/atom
1.0
-1.1657 0.1538 -3.4239
-0.2165 -3.6126 -0.0886
-4.5059 1.9971 3.5376
Ca I F
1 1 1
direct
0.7180 0.7180 0.4360
0.0094 0.0094 0.0189
0.2726 0.2726 0.5451

(2)
Pm7YTm3 (GGA-PBE, relaxed); ΔH_f (0 K) = 118 meV/atom; excess energy over the best structure of this formula in the dataset = 0 kJ/mol of formula units; size of the total moment = 0.0 μB/f.u.; E_tot = -4.71 eV/atom
1.0
0.3226 5.3595 -1.6703
-1.1257 -2.8825 -9.4679
-6.6373 -4.0643 4.6073
Pm Y Tm
7 1 3
direct
0.6779 0.3592 0.1779
0.8522 0.7077 0.3522
0.3221 0.6408 0.8221
0.0806 0.1702 0.0806
0.9194 0.8298 0.9194
0.5000 0.0000 0.5000
0.1478 0.2923 0.6478
0.5000 0.5000 0.5000
0.7213 0.0018 0.2212
0.2787 0.9982 0.7788
0.0000 0.5000 0.0000

(3)
Zr2ScCoPb (GGA-PBE, relaxed); ΔH_f (0 K) = -114 meV/atom; size of the total moment = 0.0 μB/f.u.; E_tot = -6.96 eV/atom
1.0
-1.7723 -3.1915 -3.1809
-1.6889 -2.6984 3.6484
-4.1946 2.4549 -0.1260
Co Zr Sc Pb
1 2 1 1
direct
0.0000 0.0000 0.0000
0.0000 0.5000 0.0000
0.5000 0.0000 0.0000
0.0000 0.0000 0.5000
0.5000 0.5000 0.5000

(4)
Tc2PdO (GGA-PBE, relaxed); size of the total moment = 0.0 μB/f.u.; E_tot = -7.37 eV/atom
1.0
-2.6443 2.3174 -2.7844
-3.3368 -2.9002 0.7551
-4.9992 3.2930 3.8761
Pd O Tc
2 2 4
direct
0.7500 0.2500 0.5000
0.0000 0.0000 0.0000
0.2500 0.7500 0.5000
0.5000 0.5000 0.0000
0.3750 0.5016 0.7500
0.4984 0.1250 0.2500
0.8750 0.7484 0.7500
0.2516 0.6250 0.2500

(5)
CoOs (GGA-PBE, relaxed); ΔH_f (0 K) = 1026 meV/atom; size of the total moment = 0.0 μB/f.u.; E_tot = -8.14 eV/atom
1.0
-0.0355 3.9687 -2.7092
-2.2851 -2.3972 -3.4818
-4.1968 1.2535 1.8913
Os Co
4 4
direct
0.6838 0.6838 0.0000
0.1838 0.8162 0.5000
0.3162 0.3162 0.0000
0.8162 0.1838 0.5000
0.8220 0.1780 0.0000
0.1780 0.8220 0.0000
0.3220 0.3220 0.5000
0.6780 0.6780 0.5000

(6)
ErTiBeIr2 (GGA-PBE, relaxed); ΔH_f (0 K) = -702 meV/atom; size of the total moment = 0.0 μB/f.u.; E_tot = -7.48 eV/atom
1.0
3.8579 0.0000 0.0000
0.0000 3.8579 0.0000
-1.9289 -1.9289 5.7504
Ti Ir Be Er
1 2 1 1
direct
0.2500 0.7500 0.5000
0.6157 0.6157 0.2314
0.3843 0.3843 0.7686
0.7500 0.2500 0.5000
0.0000 0.0000 0.0000

> The highest E_tot belongs to which entry?

CaIF

> What is the size of the total moment in the fourth record?

0.0 μB/f.u.